1.
## MnRu (PBEsol)

Data for an optimized crystal structure of MnRu.

Geometry as extended XYZ:
```
2
Lattice="2.6076 0.0000 0.0000 -1.3038 2.2583 0.0000 0.0000 0.0000 4.0492" Properties=species:S:1:pos:R:3 pbc="T T T"
Ru 0.0000 1.5055 2.0246
Mn 1.3038 0.7527 0.0000
```

Summary:
E = -9.92 eV per atom
M_tot = 0.00 Bohr magnetons per cell


2.
## Mn3Ru (PBEsol)

Data for an optimized crystal structure of Mn3Ru.

Geometry as extended XYZ:
```
4
Lattice="2.5496 0.0000 0.0000 0.0000 4.3540 0.0000 -1.2748 -2.1770 4.0101" Properties=species:S:1:pos:R:3 pbc="T T T"
Ru 0.0000 2.8716 0.0000
Mn 1.2748 0.7176 0.0000
Mn 0.0000 0.0195 1.9537
Mn 1.2748 2.1965 2.0564
```

Summary:
E = -9.81 eV per atom
M_tot = 0.00 Bohr magnetons per cell


3.
## MnRu3 (PBEsol)

Data for an optimized crystal structure of MnRu3.

Geometry as extended XYZ:
```
16
Lattice="5.2762 0.0000 0.0000 -2.6381 4.5694 0.0000 0.0000 0.0000 8.4540" Properties=species:S:1:pos:R:3 pbc="T T T"
Mn 0.0000 3.0462 2.1135
Mn 2.6381 1.5231 6.3405
Mn 0.0000 0.0000 4.2270
Mn 0.0000 0.0000 0.0000
Ru 1.3191 2.2847 0.0000
Ru -1.3191 2.2847 0.0000
Ru 0.0000 1.4929 6.3405
Ru 2.6381 3.0764 2.1135
Ru 3.9833 0.7465 2.1135
Ru 1.2929 0.7465 2.1135
Ru 2.6381 0.0000 0.0000
Ru -1.3452 3.8229 6.3405
Ru 2.6381 0.0000 4.2270
Ru 1.3191 2.2847 4.2270
Ru -1.3191 2.2847 4.2270
Ru 1.3452 3.8229 6.3405
```

Summary:
E = -10.00 eV per atom
M_tot = 3.49 Bohr magnetons per cell


4.
## MnRu4 (PBEsol)

Data for an optimized crystal structure of MnRu4.

Geometry as extended XYZ:
```
5
Lattice="-3.0301 -1.3340 -1.6951 -2.8090 -2.3108 2.7589 -3.5577 2.8608 0.0275" Properties=species:S:1:pos:R:3 pbc="T T T"
Mn 0.0000 0.0000 0.0000
Ru -2.4395 -0.6129 0.7623
Ru -4.5200 0.4610 -0.4445
Ru -4.8767 -1.2450 1.5357
Ru -6.9573 -0.1711 0.3290
```

Summary:
E = -9.97 eV per atom
M_tot = 1.28 Bohr magnetons per cell


5.
## MnRu (PBEsol)

Data for an optimized crystal structure of MnRu.

Geometry as extended XYZ:
```
8
Lattice="-2.1441 3.4288 0.5728 -3.7437 -2.4369 0.5741 0.9428 -0.2560 5.0615" Properties=species:S:1:pos:R:3 pbc="T T T"
Ru -3.0167 1.5446 1.3042
Ru -0.2893 0.4730 3.3670
Ru -4.6557 0.2629 2.8414
Ru -1.9283 -0.8087 4.9042
Mn -4.2285 0.1036 5.3944
Mn -0.7165 0.6323 0.8139
Mn -2.5952 1.3868 3.8271
Mn -2.3499 -0.6509 2.3813
```

Summary:
E = -9.94 eV per atom
M_tot = 0.00 Bohr magnetons per cell


6.
## MnRu3 (PBEsol)

Data for an optimized crystal structure of MnRu3.

Geometry as extended XYZ:
```
4
Lattice="-2.2010 -1.0817 1.0154 2.0926 -3.5034 0.8038 1.1139 1.6138 4.1337" Properties=species:S:1:pos:R:3 pbc="T T T"
Mn 0.0016 0.0023 0.0058
Ru 0.8830 -0.9348 4.3876
Ru -0.5452 0.2636 2.5683
Ru 1.4088 -1.2266 1.7470
```

Summary:
E = -10.05 eV per atom
M_tot = 0.00 Bohr magnetons per cell


7.
## Mn2Ru (PBEsol)

Data for an optimized crystal structure of Mn2Ru.

Geometry as extended XYZ:
```
6
Lattice="-1.0927 -0.3508 -2.3017 3.4101 -3.3107 0.3226 -4.6760 -2.6155 2.6186" Properties=species:S:1:pos:R:3 pbc="T T T"
Mn -1.1953 -4.0456 1.1841
Mn -1.1309 -2.2280 -0.5605
Mn 0.9380 -3.4390 0.0789
Mn -0.0438 -0.0254 0.0247
Ru -2.5298 -1.9296 1.4951
Ru -3.6974 -4.2280 0.9628
```

Summary:
E = -9.84 eV per atom
M_tot = 0.00 Bohr magnetons per cell


8.
## Mn2Ru (PBEsol)

Data for an optimized crystal structure of Mn2Ru.

Geometry as extended XYZ:
```
6
Lattice="-1.9692 0.1156 -1.6448 1.2385 -3.4347 -1.7242 -2.7255 -3.5038 5.0222" Properties=species:S:1:pos:R:3 pbc="T T T"
Ru -1.9585 -5.2580 1.9754
Ru -1.4976 -1.5650 -0.3222
Mn -1.7037 -4.0489 -0.2501
Mn -1.7525 -2.7741 1.9033
Mn 0.5093 -2.9658 -0.8181
Mn -3.9654 -3.8572 2.4714
```

Summary:
E = -9.86 eV per atom
M_tot = 0.00 Bohr magnetons per cell


9.
## Mn3Ru (PBEsol)

Data for an optimized crystal structure of Mn3Ru.

Geometry as extended XYZ:
```
4
Lattice="2.5479 0.0000 0.0000 0.0000 4.0013 0.0000 0.0000 0.0000 4.3588" Properties=species:S:1:pos:R:3 pbc="T T T"
Mn 1.2740 2.0006 3.6390
Mn 0.0000 0.0000 4.3037
Mn 1.2740 0.0000 2.2205
Ru 0.0000 2.0006 1.4603
```

Summary:
E = -9.81 eV per atom
M_tot = 0.00 Bohr magnetons per cell


10.
## MnRu (PBEsol)

Data for an optimized crystal structure of MnRu.

Geometry as extended XYZ:
```
4
Lattice="-1.8467 -0.5660 -1.7274 1.7296 -1.3046 -1.4216 -1.5304 -5.9290 3.5788" Properties=species:S:1:pos:R:3 pbc="T T T"
Ru -0.4478 -5.7375 2.3587
Ru -1.1411 -1.1268 -0.3544
Mn -1.8643 -3.9285 1.3368
Mn 0.2754 -2.9357 0.6675
```

Summary:
E = -9.83 eV per atom
M_tot = 0.01 Bohr magnetons per cell


11.
## Mn3Ru (PBEsol)

Data for an optimized crystal structure of Mn3Ru.

Geometry as extended XYZ:
```
4
Lattice="-1.8894 -0.1711 1.7010 2.0650 -1.4737 0.2370 3.4883 5.6018 4.4381" Properties=species:S:1:pos:R:3 pbc="T T T"
Ru 1.7441 2.8009 2.2190
Mn 3.3940 3.2114 4.0928
Mn 1.5881 0.3114 1.7953
Mn 0.0000 0.0000 0.0000
```

Summary:
E = -9.77 eV per atom
M_tot = 0.00 Bohr magnetons per cell


12.
## MnRu3 (PBEsol)

Data for an optimized crystal structure of MnRu3.

Geometry as extended XYZ:
```
24
Lattice="-3.0823 -1.4278 -3.0453 -2.9683 -1.9207 3.9050 -6.0332 11.1299 0.8882" Properties=species:S:1:pos:R:3 pbc="T T T"
Ru -3.5587 0.6426 -2.3890
Ru -3.0431 -1.6825 0.4123
Ru -5.2525 4.1200 3.3632
Ru -2.7489 0.8575 0.0936
Ru -4.5400 4.8593 -1.0610
Ru -8.3151 7.3963 2.6618
Ru -8.2695 4.9897 1.4826
Ru -4.2456 -0.1110 2.0627
Ru -3.8147 -1.9035 -2.0595
Ru -7.6066 8.1100 -1.7931
Ru -3.7684 5.0803 1.4108
Ru -6.8184 8.3648 0.6927
Ru -4.8342 2.3193 -0.7423
Ru -6.0097 6.1967 2.0326
Ru -4.0244 2.5342 1.7403
Ru -6.7979 5.9419 -0.4533
Ru -6.3058 1.3671 1.1935
Ru -5.2989 -2.8638 -0.1069
Mn -9.1149 7.1703 0.1511
Mn -4.5014 7.1364 0.0884
Mn -2.5436 3.5248 -0.1999
Mn -6.0314 3.8956 0.8843
Mn -1.5517 -0.7188 -1.5330
Mn -5.0395 -0.3480 -0.4488
```

Summary:
E = -9.99 eV per atom
M_tot = 3.62 Bohr magnetons per cell


13.
## MnRu (PBEsol)

Data for an optimized crystal structure of MnRu.

Geometry as extended XYZ:
```
4
Lattice="-2.0938 -0.5304 1.4578 -0.1676 -0.0809 -2.5992 2.0643 -7.8433 0.1110" Properties=species:S:1:pos:R:3 pbc="T T T"
Ru -0.1397 -5.3659 0.1760
Ru -0.0575 -3.0888 -1.2064
Mn -1.2100 -1.2989 0.1185
Mn 1.0129 -7.1557 -1.1489
```

Summary:
E = -9.89 eV per atom
M_tot = 0.00 Bohr magnetons per cell


14.
## Mn2Ru (PBEsol)

Data for an optimized crystal structure of Mn2Ru.

Geometry as extended XYZ:
```
6
Lattice="4.5856 0.0000 0.0000 2.2928 3.9713 0.0000 2.2928 1.3238 3.7442" Properties=species:S:1:pos:R:3 pbc="T T T"
Mn 2.2928 2.6475 0.4680
Mn 1.1464 0.6619 0.4680
Mn 2.2928 1.3238 2.3401
Mn 3.4392 0.6619 0.4680
Ru 6.8785 3.9713 2.8081
Ru 4.5856 2.6475 1.8721
```

Summary:
E = -9.84 eV per atom
M_tot = 1.55 Bohr magnetons per cell


15.
## MnRu (PBEsol)

Data for an optimized crystal structure of MnRu.

Geometry as extended XYZ:
```
4
Lattice="-0.9163 2.2716 -0.9021 -2.5662 -2.1821 -2.8886 -1.3195 -0.1967 4.6216" Properties=species:S:1:pos:R:3 pbc="T T T"
Mn -1.8159 0.2579 2.4938
Mn -2.9861 -0.3651 -1.6629
Ru -1.1856 -0.4165 0.1555
Ru -3.6163 0.3093 0.6754
```

Summary:
E = -9.93 eV per atom
M_tot = 0.00 Bohr magnetons per cell


16.
## MnRu (PBEsol)

Data for an optimized crystal structure of MnRu.

Geometry as extended XYZ:
```
6
Lattice="2.6089 0.0000 0.0000 -1.3045 4.6369 -0.0007 0.0000 -1.4660 5.8893" Properties=species:S:1:pos:R:3 pbc="T T T"
Mn 0.0000 2.1085 3.9426
Mn 0.0000 3.2423 1.6029
Mn 1.3045 4.6054 0.0129
Ru 1.3045 1.0938 1.9687
Ru 0.0000 -0.4567 3.5945
Ru 1.3045 0.7092 5.5623
```

Summary:
E = -9.93 eV per atom
M_tot = 0.00 Bohr magnetons per cell


17.
## MnRu3 (PBEsol)

Data for an optimized crystal structure of MnRu3.

Geometry as extended XYZ:
```
4
Lattice="-0.9703 0.8849 -2.3039 -1.5971 -0.2523 2.1019 1.7404 7.7828 2.2565" Properties=species:S:1:pos:R:3 pbc="T T T"
Ru 0.1438 6.4220 0.8800
Ru -0.7618 2.3726 -0.2941
Ru 0.8702 3.8914 1.1282
Mn 0.0000 0.0000 0.0000
```

Summary:
E = -10.04 eV per atom
M_tot = 0.00 Bohr magnetons per cell


18.
## Mn7Ru6 (PBEsol)

Data for an optimized crystal structure of Mn7Ru6.

Geometry as extended XYZ:
```
13
Lattice="-1.4854 -3.0860 3.0272 2.7819 -1.4731 3.3144 -2.2550 4.6959 7.1317" Properties=species:S:1:pos:R:3 pbc="T T T"
Mn -0.1238 2.2903 7.4258
Mn -0.4793 0.0684 6.7366
Mn 1.3296 -1.3354 6.1932
Mn -0.0813 -0.5883 4.5121
Mn -2.2882 1.4722 7.2801
Mn -0.8772 0.7251 8.9612
Mn -0.8348 -2.1535 6.0475
Ru 0.8337 -2.9687 4.2848
Ru -1.0338 1.8711 4.8512
Ru 0.9118 -3.6694 7.0598
Ru -1.7923 3.1055 9.1885
Ru -1.8703 3.8062 6.4135
Ru 0.0752 -1.7343 8.6220
```

Summary:
E = -9.93 eV per atom
M_tot = 0.01 Bohr magnetons per cell


19.
## Mn2Ru (PBEsol)

Data for an optimized crystal structure of Mn2Ru.

Geometry as extended XYZ:
```
3
Lattice="-0.1929 2.2973 -1.1144 -3.8555 0.0337 0.7369 2.5130 1.4843 2.6250" Properties=species:S:1:pos:R:3 pbc="T T T"
Mn 0.3902 1.0008 1.9956
Mn -1.7327 0.5172 1.3663
Ru -0.0965 1.1487 -0.5572
```

Summary:
E = -9.86 eV per atom
M_tot = 0.00 Bohr magnetons per cell


20.
## Mn2Ru (PBEsol)

Data for an optimized crystal structure of Mn2Ru.

Geometry as extended XYZ:
```
6
Lattice="2.5734 0.0000 0.0000 -1.2867 4.5845 -0.0017 0.0000 -1.5059 5.7859" Properties=species:S:1:pos:R:3 pbc="T T T"
Mn 1.2867 1.1829 0.1611
Mn 1.2867 3.2466 4.0979
Mn 0.0000 1.8957 5.6230
Mn 0.0000 -0.1680 1.6863
Ru 0.0000 2.3103 2.0639
Ru 1.2867 0.7683 3.7203
```

Summary:
E = -9.85 eV per atom
M_tot = 0.00 Bohr magnetons per cell


These records have N(E_F) values of 2.09; 4.61; 17.08; 5.28; 8.31; 3.55; 6.80; 6.80; 4.80; 5.94; 4.98; 23.03; 4.78; 8.83; 4.52; 6.67; 3.97; 13.30; 2.57; 6.56 states/eV/cell, in the order they appear.
These records have energy of formation from the pure elements values of 0.051; 0.055; 0.072; 0.120; 0.024; 0.022; 0.055; 0.042; 0.054; 0.138; 0.090; 0.081; 0.076; 0.060; 0.034; 0.035; 0.031; 0.023; 0.040; 0.046 eV/atom, in the order they appear.